# Tb4Dy4Tm3 PBE-GGA optimized geometry
data_Tb4Dy4Tm3
_chemical_formula_sum 'Tb8 Dy8 Tm6'
_cell_length_a 3.561
_cell_length_b 9.247
_cell_length_c 21.395
_cell_angle_alpha 90.00
_cell_angle_beta 90.00
_cell_angle_gamma 90.00
_symmetry_space_group_name_H-M 'I m m m'
_symmetry_Int_Tables_number 71
_symmetry_space_group_name_Hall '-I 2 2'
loop_
_atom_site_label
_atom_site_fract_x
_atom_site_fract_y
_atom_site_fract_z
Tb1 0.000 0.179 0.143
Dy1 0.000 0.316 0.000
Dy2 0.000 0.500 0.241
Tm1 0.000 0.000 0.392
Tm2 0.000 0.500 0.500
# Uncorrected energy: -97.9 eV/cell
# Energy of formation from the pure elements: 0.126 eV/atom
# E above lowest polymorph: 67 meV per atom
# Volume: 352.24 Å³/f.u.



# Tb8Dy3Tm3 PBE-GGA optimized geometry
data_Tb8Dy3Tm3
_chemical_formula_sum 'Tb16 Dy6 Tm6'
_cell_length_a 5.580
_cell_length_b 10.708
_cell_length_c 14.830
_cell_angle_alpha 90.00
_cell_angle_beta 90.00
_cell_angle_gamma 90.00
_symmetry_space_group_name_H-M 'I m m m'
_symmetry_Int_Tables_number 71
_symmetry_space_group_name_Hall '-I 2 2'
loop_
_atom_site_label
_atom_site_fract_x
_atom_site_fract_y
_atom_site_fract_z
Tb1 0.000 0.159 0.222
Tb2 0.000 0.340 0.397
Dy1 0.000 0.000 0.500
Dy2 0.000 0.500 0.180
Tm1 0.000 0.000 0.000
Tm2 0.000 0.298 0.000
# Uncorrected energy: -125.4 eV/cell
# Energy of formation from the pure elements: 0.113 eV/atom
# E above lowest polymorph: 0 meV per atom
# Volume: 443.09 Å³/f.u.



# TbDy2Tm5 PBE-GGA optimized geometry
data_TbDy2Tm5
_chemical_formula_sum 'Tb2 Dy4 Tm10'
_cell_length_a 7.007
_cell_length_b 7.007
_cell_length_c 9.892
_cell_angle_alpha 90.00
_cell_angle_beta 90.00
_cell_angle_gamma 90.00
_symmetry_space_group_name_H-M 'I 4/m m m'
_symmetry_Int_Tables_number 139
_symmetry_space_group_name_Hall '-I 4 2'
loop_
_atom_site_label
_atom_site_fract_x
_atom_site_fract_y
_atom_site_fract_z
Tb1 0.000 0.000 0.000
Dy1 0.000 0.500 0.000
Tm1 0.000 0.000 0.500
Tm2 0.250 0.250 0.250
# Uncorrected energy: -72.0 eV/cell
# Energy of formation from the pure elements: 0.024 eV/atom
# E above lowest polymorph: 0 meV per atom
# Volume: 242.81 Å³/f.u.



# TbDy4Tm PBE-GGA optimized geometry
data_TbDy4Tm
_chemical_formula_sum 'Tb4 Dy16 Tm4'
_cell_length_a 8.743
_cell_length_b 14.708
_cell_length_c 6.397
_cell_angle_alpha 90.00
_cell_angle_beta 111.70
_cell_angle_gamma 90.00
_symmetry_space_group_name_H-M 'C 1 2/c 1'
_symmetry_Int_Tables_number 15
_symmetry_space_group_name_Hall '-C 2yc'
loop_
_atom_site_label
_atom_site_fract_x
_atom_site_fract_y
_atom_site_fract_z
Tb1 0.000 0.085 0.250
Dy1 0.092 0.302 0.541
Dy2 0.203 0.125 0.881
Tm1 0.000 0.497 0.250
# Uncorrected energy: -106.5 eV/cell
# Energy of formation from the pure elements: 0.148 eV/atom
# E above lowest polymorph: 129 meV per atom
# Volume: 191.06 Å³/f.u.



# Tb8DyTm6 PBE-GGA optimized geometry
data_Tb8DyTm6
_chemical_formula_sum 'Tb8 Dy1 Tm6'
_cell_length_a 9.7369
_cell_length_b 9.7369
_cell_length_c 5.7603
_cell_angle_alpha 90.00
_cell_angle_beta 90.00
_cell_angle_gamma 120.00
_symmetry_space_group_name_H-M 'P -3'
_symmetry_Int_Tables_number 147
_symmetry_space_group_name_Hall '-P 3'
loop_
_atom_site_label
_atom_site_fract_x
_atom_site_fract_y
_atom_site_fract_z
Tb1 0.0910 0.4658 0.2338
Tb2 0.3333 0.6667 0.7234
Dy1 0.0000 0.0000 0.0000
Tm1 0.0495 0.2731 0.7200
# Uncorrected energy: -65.9 eV/cell
# Energy of formation from the pure elements: 0.170 eV/atom
# E above lowest polymorph: 37 meV per atom
# Volume: 472.96 Å³/f.u.



# TbDy4Tm PBE-GGA optimized geometry
data_TbDy4Tm
_chemical_formula_sum 'Tb4 Dy16 Tm4'
_cell_length_a 9.222
_cell_length_b 9.222
_cell_length_c 9.222
_cell_angle_alpha 90.00
_cell_angle_beta 90.00
_cell_angle_gamma 90.00
_symmetry_space_group_name_H-M 'F -4 3 m'
_symmetry_Int_Tables_number 216
_symmetry_space_group_name_Hall 'F -4 2 3'
loop_
_atom_site_label
_atom_site_fract_x
_atom_site_fract_y
_atom_site_fract_z
Tb1 0.000 0.000 0.000
Dy1 0.125 0.125 0.375
Tm1 0.250 0.250 0.750
# Uncorrected energy: -103.7 eV/cell
# Energy of formation from the pure elements: 0.265 eV/atom
# E above lowest polymorph: 246 meV per atom
# Volume: 196.09 Å³/f.u.



# Tb7Dy12Tm PBE-GGA optimized geometry
data_Tb7Dy12Tm
_chemical_formula_sum 'Tb21 Dy36 Tm3'
_cell_length_a 18.4800
_cell_length_b 18.4800
_cell_length_c 6.6708
_cell_angle_alpha 90.00
_cell_angle_beta 90.00
_cell_angle_gamma 120.00
_symmetry_space_group_name_H-M 'R -3'
_symmetry_Int_Tables_number 148
_symmetry_space_group_name_Hall '-R 3'
loop_
_atom_site_label
_atom_site_fract_x
_atom_site_fract_y
_atom_site_fract_z
Tb1 0.0000 0.0000 0.0000
Tb2 0.0075 0.1560 0.2810
Dy1 0.0001 0.2129 0.7843
Dy2 0.0064 0.5350 0.2403
Tm1 0.0000 0.0000 0.5000
# Uncorrected energy: -256.9 eV/cell
# Energy of formation from the pure elements: 0.324 eV/atom
# E above lowest polymorph: 33 meV per atom
# Volume: 657.65 Å³/f.u.



# Tb3Dy3Tm5 PBE-GGA optimized geometry
data_Tb3Dy3Tm5
_chemical_formula_sum 'Tb3 Dy3 Tm5'
_cell_length_a 9.5892
_cell_length_b 9.5892
_cell_length_c 5.4744
_cell_angle_alpha 90.00
_cell_angle_beta 90.00
_cell_angle_gamma 120.00
_symmetry_space_group_name_H-M 'P -6 2 m'
_symmetry_Int_Tables_number 189
_symmetry_space_group_name_Hall 'P -6 -2'
loop_
_atom_site_label
_atom_site_fract_x
_atom_site_fract_y
_atom_site_fract_z
Tb1 0.0000 0.6344 0.0000
Dy1 0.0000 0.4547 0.5000
Tm1 0.0000 0.2761 0.0000
Tm2 0.3333 0.6667 0.0000
# Uncorrected energy: -40.9 eV/cell
# Energy of formation from the pure elements: 0.831 eV/atom
# Volume: 435.94 Å³/f.u.



# Tb5DyTm6 PBE-GGA optimized geometry
data_Tb5DyTm6
_chemical_formula_sum 'Tb10 Dy2 Tm12'
_cell_length_a 5.702
_cell_length_b 7.407
_cell_length_c 17.664
_cell_angle_alpha 90.00
_cell_angle_beta 90.00
_cell_angle_gamma 90.00
_symmetry_space_group_name_H-M 'I m m m'
_symmetry_Int_Tables_number 71
_symmetry_space_group_name_Hall '-I 2 2'
loop_
_atom_site_label
_atom_site_fract_x
_atom_site_fract_y
_atom_site_fract_z
Tb1 0.000 0.000 0.000
Tb2 0.000 0.000 0.348
Tb3 0.000 0.500 0.347
Dy1 0.000 0.500 0.000
Tm1 0.000 0.250 0.180
Tm2 0.000 0.250 0.500
# Uncorrected energy: -106.4 eV/cell
# Energy of formation from the pure elements: 0.114 eV/atom
# E above lowest polymorph: 93 meV per atom
# Volume: 372.98 Å³/f.u.



# Tb2Dy3Tm8 PBE-GGA optimized geometry
data_Tb2Dy3Tm8
_chemical_formula_sum 'Tb4 Dy6 Tm16'
_cell_length_a 14.578
_cell_length_b 9.035
_cell_length_c 6.742
_cell_angle_alpha 90.00
_cell_angle_beta 108.62
_cell_angle_gamma 90.00
_symmetry_space_group_name_H-M 'C 1 2/m 1'
_symmetry_Int_Tables_number 12
_symmetry_space_group_name_Hall '-C 2y'
loop_
_atom_site_label
_atom_site_fract_x
_atom_site_fract_y
_atom_site_fract_z
Tb1 0.215 0.000 0.422
Dy1 0.000 0.000 0.000
Dy2 0.000 0.174 0.500
Tm1 0.083 0.500 0.728
Tm2 0.117 0.319 0.177
Tm3 0.191 0.000 0.895
# Uncorrected energy: -111.6 eV/cell
# Energy of formation from the pure elements: 0.233 eV/atom
# E above lowest polymorph: 0 meV per atom
# Volume: 420.75 Å³/f.u.



# TbDy6Tm3 PBE-GGA optimized geometry
data_TbDy6Tm3
_chemical_formula_sum 'Tb4 Dy24 Tm12'
_cell_length_a 10.906
_cell_length_b 18.811
_cell_length_c 6.136
_cell_angle_alpha 90.00
_cell_angle_beta 90.00
_cell_angle_gamma 90.00
_symmetry_space_group_name_H-M 'C m c 21'
_symmetry_Int_Tables_number 36
_symmetry_space_group_name_Hall 'C 2c -2'
loop_
_atom_site_label
_atom_site_fract_x
_atom_site_fract_y
_atom_site_fract_z
Tb1 0.000 0.207 0.000
Dy1 0.000 0.047 0.769
Dy2 0.000 0.283 0.497
Dy3 0.165 0.455 0.386
Dy4 0.247 0.290 0.212
Tm1 0.000 0.389 0.925
Tm2 0.171 0.109 0.307
# Uncorrected energy: -176.6 eV/cell
# Energy of formation from the pure elements: 0.150 eV/atom
# E above lowest polymorph: 24 meV per atom
# Volume: 314.68 Å³/f.u.



# Tb3Dy4Tm4 PBE-GGA optimized geometry
data_Tb3Dy4Tm4
_chemical_formula_sum 'Tb3 Dy4 Tm4'
_cell_length_a 3.463
_cell_length_b 5.555
_cell_length_c 17.953
_cell_angle_alpha 98.88
_cell_angle_beta 95.51
_cell_angle_gamma 90.00
_symmetry_space_group_name_H-M 'P -1'
_symmetry_Int_Tables_number 2
_symmetry_space_group_name_Hall '-P 1'
loop_
_atom_site_label
_atom_site_fract_x
_atom_site_fract_y
_atom_site_fract_z
Tb1 0.000 0.000 0.000
Tb2 0.137 0.638 0.274
Dy1 0.320 0.819 0.638
Dy2 0.455 0.453 0.908
Tm1 0.266 0.266 0.533
Tm2 0.409 0.908 0.819
# Uncorrected energy: -49.5 eV/cell
# Energy of formation from the pure elements: 0.060 eV/atom
# E above lowest polymorph: 40 meV per atom
# Volume: 339.56 Å³/f.u.